(1)
DFT (PBEsol) results for BiAs2SeO after structural relaxation.

Computed properties:
**Total DFT energy (no corrections)**: -4.576 eV/atom
**Magnetization**: 0.000 μB per atom

a b c (Å): 4.482 4.482 4.605
angles (deg): 90.00 90.00 90.00
Space group P4/mmm (No. 123)
Asymmetric unit:
Bi 0.000 0.000 0.000 [1 per cell]
As 0.000 0.500 0.500 [2 per cell]
Se 0.500 0.500 0.000 [1 per cell]
O 0.500 0.500 0.500 [1 per cell]

---

(2)
DFT (PBEsol) results for MoBr after structural relaxation.

Computed properties:
**Distance to the lowest polymorph of the same formula**: 975 meV per atom
**Total DFT energy (no corrections)**: -5.747 eV/atom
**Magnetization**: 0.000 μB per atom

a b c (Å): 4.123 4.123 8.073
angles (deg): 90.00 90.00 90.00
Space group I4_1/amd (No. 141, origin choice 2)
Asymmetric unit:
Mo 0.000 0.250 0.375 [4 per cell]
Br 0.000 0.250 0.875 [4 per cell]

---

(3)
DFT (PBEsol) results for LaMgAg after structural relaxation.

Computed properties:
**Total DFT energy (no corrections)**: -3.714 eV/atom
**Magnetization**: 0.000 μB per atom
**Formation energy**: -0.2556 eV/atom

a b c (Å): 7.7283 7.7283 4.3738
angles (deg): 90.00 90.00 120.00
Space group P-62m (No. 189)
Asymmetric unit:
La 0.0000 0.4175 0.0000 [3 per cell]
Mg 0.0000 0.7627 0.5000 [3 per cell]
Ag 0.0000 0.0000 0.0000 [1 per cell]
Ag 0.3333 0.6667 0.5000 [2 per cell]

---

(4)
DFT (PBEsol) results for Zr2ScPb after structural relaxation.

Computed properties:
**Total DFT energy (no corrections)**: -7.347 eV/atom
**Magnetization**: 0.000 μB per atom
**Formation energy**: -0.1509 eV/atom

a b c (Å): 3.233 5.072 5.459
angles (deg): 90.00 93.33 90.00
Space group Pm (No. 6)
Asymmetric unit:
Zr 0.000 0.000 0.000 [1 per cell]
Zr 0.110 0.500 0.658 [1 per cell]
Sc 0.557 0.000 0.503 [1 per cell]
Pb 0.556 0.500 0.166 [1 per cell]

---

(5)
DFT (PBEsol) results for BaTc2Os after structural relaxation.

Computed properties:
**Total DFT energy (no corrections)**: -7.773 eV/atom
**Magnetization**: 0.002 μB per atom
**Formation energy**: 1.4516 eV/atom

a b c (Å): 4.842 4.842 2.982
angles (deg): 90.00 90.00 90.00
Space group P4/mmm (No. 123)
Asymmetric unit:
Ba 0.000 0.000 0.000 [1 per cell]
Tc 0.000 0.500 0.500 [2 per cell]
Os 0.500 0.500 0.000 [1 per cell]

---

(6)
DFT (PBEsol) results for PSe7 after structural relaxation.

Computed properties:
**Total DFT energy (no corrections)**: -3.436 eV/atom
**Magnetization**: 0.000 μB per atom

a b c (Å): 8.436 8.436 8.436
angles (deg): 90.00 90.00 90.00
Space group Fm-3m (No. 225)
Asymmetric unit:
P 0.000 0.000 0.000 [4 per cell]
Se 0.000 0.000 0.500 [4 per cell]
Se 0.000 0.250 0.250 [24 per cell]

---

Per-record mass density, g/cm³: 8.14; 8.51; 5.97; 8.08; 12.44; 6.46